The following is a DFT calculation (PBE-GGA) of a geometry-optimized LiGa2Cl6 structure.

Cell lengths 7.760, 9.707, 9.707 Å; angles 87.63, 67.96, 67.96 degrees
Positions (direct):
1 Li 0.250 0.189 0.811
2 Li 0.750 0.811 0.189
3 Ga 0.211 0.620 0.794
4 Ga 0.289 0.206 0.380
5 Ga 0.789 0.380 0.206
6 Ga 0.711 0.794 0.620
7 Cl 0.503 0.659 0.635
8 Cl 0.997 0.365 0.341
9 Cl 0.497 0.341 0.365
10 Cl 0.003 0.635 0.659
11 Cl 0.812 0.880 0.396
12 Cl 0.688 0.604 0.120
13 Cl 0.188 0.120 0.604
14 Cl 0.312 0.396 0.880
15 Cl 0.053 0.804 0.982
16 Cl 0.447 0.018 0.196
17 Cl 0.947 0.196 0.018
18 Cl 0.553 0.982 0.804

## Properties
As for the electronic total energy: -3.250 eV per atom. The value obtained for the magnetization is 0.0 μB per formula unit.